Here is crystalline PmTh2Cu6 at its relaxed geometry from Alexandria via LeMat-Bulk. Energies are from PBE-GGA.

a = 7.520 Å, b = 7.520 Å, c = 3.594 Å
α = 90.00°, β = 90.00°, γ = 120.00°
Atoms (fractional coordinates):
Pm  0.000  0.000  0.000
Th  0.333  0.667  0.000
Th  0.667  0.333  0.000
Cu  0.000  0.333  0.500
Cu  0.000  0.667  0.500
Cu  0.333  0.000  0.500
Cu  0.333  0.333  0.500
Cu  0.667  0.000  0.500
Cu  0.667  0.667  0.500

Output
VASP energy: -45.97 eV per cell
formation energy from the elements: -1.8 eV/f.u.
magnetic moment: 0.00 Bohr magnetons per cell

=====

Here is crystalline Tb8TcPd2 at its relaxed geometry from Alexandria via LeMat-Bulk. Energies are from PBE-GGA.

a = 7.800 Å, b = 7.800 Å, c = 5.844 Å
α = 100.68°, β = 100.68°, γ = 116.14°
Atoms (fractional coordinates):
Tb  0.000  0.000  0.000
Tb  0.034  0.275  0.588
Tb  0.159  0.576  0.181
Tb  0.275  0.034  0.588
Tb  0.450  0.694  0.789
Tb  0.576  0.159  0.181
Tb  0.694  0.450  0.789
Tb  0.720  0.720  0.353
Tc  0.357  0.357  0.071
Pd  0.054  0.660  0.671
Pd  0.660  0.054  0.671

Output
excess energy over the best structure of this formula in the dataset: 0.076 eV/atom
VASP energy: -60.52 eV per cell
formation energy from the elements: -2.7 eV/f.u.
magnetic moment: 0.00 Bohr magnetons per cell

=====

Here is crystalline CsCuH6Ir at its relaxed geometry from Alexandria via LeMat-Bulk. Energies are from PBE-GGA.

a = 4.254 Å, b = 4.914 Å, c = 6.192 Å
α = 89.90°, β = 90.00°, γ = 64.55°
Atoms (fractional coordinates):
Cs  0.000  0.000  0.000
Cu  0.339  0.339  0.500
H  0.071  0.717  0.500
H  0.491  0.015  0.337
H  0.491  0.015  0.662
H  0.702  0.597  0.247
H  0.702  0.597  0.754
H  0.816  0.339  0.501
Ir  0.652  0.709  0.500

Output
VASP energy: -34.96 eV per cell
magnetic moment: 0.00 Bohr magnetons per cell

=====

Result set for Fermi-level density of states: 0.89 0.99 0.06 states/eV per atom, one per record in the order listed.